Record 1
Below is a geometry-optimized Ni2WBr structure, with properties calculated at the GGA-PBE level.

Calculated values
ΔE_f (raw), kJ/mol of atoms: 44.8
Total moment, Bohr magnetons per cell: 0.00
Total energy, eV per atom: -6.08
Distance to the lowest polymorph of the same formula, meV/atom: 111
V, Å³/f.u.: 61

The structure in POSCAR format:
```
Ni2WBr
1.0
1.4629 0.8446 8.2016
-1.4629 0.8446 8.2016
0.0000 -1.6892 8.2016
Ni W Br
2 1 1
direct
0.2458 0.2458 0.2458
0.7542 0.7542 0.7542
0.5000 0.5000 0.5000
0.0000 0.0000 0.0000
```



Record 2
Below is a geometry-optimized Ca2Pb2F7 structure, with properties calculated at the GGA-PBE level.

Calculated values
ΔE_f (raw), kJ/mol of atoms: -288.9
Total moment, Bohr magnetons per cell: 0.00
Total energy, eV per atom: -5.22
V, Å³/f.u.: 189

The structure in POSCAR format:
```
Ca2Pb2F7
1.0
3.6481 -4.1911 0.0000
3.6481 4.1911 0.0000
0.0000 0.0000 6.1928
Ca Pb F
2 2 7
direct
0.2319 0.7681 0.0000
0.7681 0.2319 0.0000
0.2462 0.2462 0.5000
0.7538 0.7538 0.5000
0.0000 0.0000 0.2045
0.0000 0.0000 0.7955
0.0000 0.5000 0.2446
0.0000 0.5000 0.7554
0.5000 0.0000 0.2446
0.5000 0.0000 0.7554
0.5000 0.5000 0.0000
```



Record 3
Below is a geometry-optimized Tl3CdAs2 structure, with properties calculated at the GGA-PBE level.

Calculated values
Formation enthalpy at 0 K, eV/atom: 0.024
Total moment, Bohr magnetons per cell: 0.00
Total energy, eV per atom: -2.86
V, Å³/f.u.: 172

The structure in POSCAR format:
```
Tl3CdAs2
1.0
-3.4290 7.4181 3.3872
3.4290 -7.4181 3.3872
3.4290 7.4181 -3.3872
Tl Cd As
6 2 4
direct
0.1810 0.7360 0.9170
0.2500 0.2500 0.0000
0.3190 0.2360 0.5550
0.6810 0.7640 0.4450
0.7500 0.7500 0.0000
0.8190 0.2640 0.0830
0.2500 0.7500 0.5000
0.7500 0.2500 0.5000
0.1127 0.2761 0.3888
0.3873 0.7761 0.1634
0.6127 0.2239 0.8366
0.8873 0.7239 0.6112
```



Record 4
Below is a geometry-optimized BaMgCo2 structure, with properties calculated at the GGA-PBE level.

Calculated values
Formation enthalpy at 0 K, eV/atom: 0.322
Total moment, Bohr magnetons per cell: 2.23
Total energy, eV per atom: -4.11
V, Å³/f.u.: 95

The structure in POSCAR format:
```
BaMgCo2
1.0
3.8728 0.0000 0.0000
0.0000 2.1187 5.7940
0.0000 -2.1187 5.7940
Ba Mg Co
1 1 2
direct
0.0000 0.0000 0.0000
0.5000 0.7317 0.7317
0.0000 0.2770 0.2770
0.5000 0.3666 0.3666
```



Record 5
Below is a geometry-optimized AcAgSb structure, with properties calculated at the GGA-PBE level.

Calculated values
ΔE_f (raw), kJ/mol of atoms: -68.1
Total moment, Bohr magnetons per cell: 0.00
Total energy, eV per atom: -4.40
Distance to the lowest polymorph of the same formula, meV/atom: 8
V, Å³/f.u.: 88

The structure in POSCAR format:
```
AcAgSb
1.0
5.9918 -2.3636 0.0000
5.9918 2.3636 0.0000
-4.8956 0.0000 6.1997
Ac Ag Sb
2 2 2
direct
0.0366 0.0366 0.2908
0.9634 0.9634 0.7092
0.3544 0.3544 0.9120
0.6456 0.6456 0.0880
0.3135 0.3135 0.2805
0.6865 0.6865 0.7195
```



Record 6
Below is a geometry-optimized Ho2GaCu3 structure, with properties calculated at the GGA-PBE level.

Calculated values
Formation enthalpy at 0 K, eV/atom: -0.362
Total moment, Bohr magnetons per cell: 0.00
Total energy, eV per atom: -4.44
Distance to the lowest polymorph of the same formula, meV/atom: 0
V, Å³/f.u.: 112

The structure in POSCAR format:
```
Ho2GaCu3
1.0
0.0000 4.2928 7.5131
3.4783 0.0000 7.5131
3.4783 4.2928 0.0000
Ho Ga Cu
4 2 6
direct
0.2428 0.7572 0.7572
0.2500 0.2500 0.2500
0.7500 0.7500 0.7500
0.7572 0.2428 0.2428
0.3342 0.3342 0.6658
0.6658 0.6658 0.3342
0.1671 0.1671 0.8329
0.1681 0.6663 0.3337
0.3337 0.8319 0.1681
0.6663 0.1681 0.8319
0.8319 0.3337 0.6663
0.8329 0.8329 0.1671
```



Record 7
Below is a geometry-optimized ZrAl2Pt structure, with properties calculated at the GGA-PBE level.

Calculated values
Formation enthalpy at 0 K, eV/atom: -0.868
Total moment, Bohr magnetons per cell: 0.00
Total energy, eV per atom: -6.39
V, Å³/f.u.: 69

The structure in POSCAR format:
```
ZrAl2Pt
1.0
6.5451 0.0000 0.0000
0.0000 4.1899 0.0000
0.0000 0.0000 9.9964
Zr Al Pt
4 8 4
direct
0.2431 0.2500 0.1755
0.2569 0.7500 0.6755
0.7431 0.2500 0.3245
0.7569 0.7500 0.8245
0.0597 0.2500 0.8356
0.2245 0.7500 0.9648
0.2755 0.2500 0.4648
0.4403 0.7500 0.3356
0.5597 0.2500 0.6644
0.7245 0.7500 0.5352
0.7755 0.2500 0.0352
0.9403 0.7500 0.1644
0.0685 0.7500 0.4032
0.4315 0.2500 0.9032
0.5685 0.7500 0.0968
0.9315 0.2500 0.5968
```



Record 8
Below is a geometry-optimized ZnClF3 structure, with properties calculated at the GGA-PBE level.

Calculated values
ΔE_f (raw), kJ/mol of atoms: -22.8
Total moment, Bohr magnetons per cell: 0.73
Total energy, eV per atom: -1.98
Distance to the lowest polymorph of the same formula, meV/atom: 1172
V, Å³/f.u.: 82

The structure in POSCAR format:
```
ZnClF3
1.0
4.3497 0.0000 0.0000
0.0000 4.3497 0.0000
0.0000 0.0000 4.3497
Zn Cl F
1 1 3
direct
0.0000 0.0000 0.0000
0.5000 0.5000 0.5000
0.0000 0.5000 0.5000
0.5000 0.0000 0.5000
0.5000 0.5000 0.0000
```



Record 9
Below is a geometry-optimized Ca6Hg3H structure, with properties calculated at the GGA-PBE level.

Calculated values
Total moment, Bohr magnetons per cell: 0.00
Total energy, eV per atom: -2.01
V, Å³/f.u.: 293

The structure in POSCAR format:
```
Ca6Hg3H
1.0
6.0783 -7.2570 0.0000
6.0783 7.2570 0.0000
0.0000 0.0000 6.6491
Ca Hg H
12 6 2
direct
0.0774 0.9226 0.5000
0.1318 0.5555 0.7302
0.2448 0.3218 0.2064
0.2933 0.7067 0.2406
0.3218 0.2448 0.7064
0.4445 0.8682 0.7302
0.5555 0.1318 0.2302
0.6782 0.7552 0.2064
0.7067 0.2933 0.7406
0.7552 0.6782 0.7064
0.8682 0.4445 0.2302
0.9226 0.0774 0.0000
0.0059 0.2484 0.5437
0.2484 0.0059 0.0437
0.4568 0.5432 0.9189
0.5432 0.4568 0.4189
0.7516 0.9941 0.5437
0.9941 0.7516 0.0437
0.2378 0.7622 0.5588
0.7622 0.2378 0.0588
```



Record 10
Below is a geometry-optimized Cs6Ho3Br14 structure, with properties calculated at the GGA-PBE level.

Calculated values
ΔE_f (raw), kJ/mol of atoms: -169.6
Total moment, Bohr magnetons per cell: 0.75
Total energy, eV per atom: -3.60
V, Å³/f.u.: 1095

The structure in POSCAR format:
```
Cs6Ho3Br14
1.0
13.2266 0.0000 0.0000
-6.6133 11.4546 0.0000
0.0000 0.0000 7.2298
Cs Ho Br
6 3 14
direct
0.0278 0.5757 0.0000
0.3094 0.0966 0.4778
0.4243 0.4521 0.0000
0.5479 0.9722 0.0000
0.7872 0.6906 0.4778
0.9034 0.2128 0.4778
0.0000 0.0000 0.9118
0.3333 0.6667 0.4342
0.6667 0.3333 0.7562
0.0000 0.0000 0.2828
0.0708 0.8574 0.7748
0.1426 0.2134 0.7748
0.1871 0.4551 0.2898
0.2680 0.8129 0.2898
0.3333 0.6667 0.8045
0.4648 0.1978 0.9698
0.5330 0.4010 0.5401
0.5449 0.7320 0.2898
0.5990 0.1319 0.5401
0.7330 0.5352 0.9698
0.7866 0.9292 0.7748
0.8022 0.2670 0.9698
0.8681 0.4670 0.5401
```



Record 11
Below is a geometry-optimized BaSrRh2 structure, with properties calculated at the GGA-PBE level.

Calculated values
Formation enthalpy at 0 K, eV/atom: 0.292
Total moment, Bohr magnetons per cell: 0.00
Total energy, eV per atom: -4.29
Distance to the lowest polymorph of the same formula, meV/atom: 475
V, Å³/f.u.: 105

The structure in POSCAR format:
```
BaSrRh2
1.0
-3.9899 3.9899 3.2914
3.9899 -3.9899 3.2914
3.9899 3.9899 -3.2914
Ba Sr Rh
2 2 4
direct
0.0000 0.0000 0.0000
0.7500 0.2500 0.5000
0.2500 0.7500 0.5000
0.5000 0.5000 0.0000
0.1245 0.6250 0.9995
0.3750 0.3745 0.4995
0.6255 0.1250 0.0005
0.8750 0.8755 0.5005
```



Record 12
Below is a geometry-optimized Pm2SmDy structure, with properties calculated at the GGA-PBE level.

Calculated values
Formation enthalpy at 0 K, eV/atom: 0.013
Total moment, Bohr magnetons per cell: 0.00
Total energy, eV per atom: -4.69
Distance to the lowest polymorph of the same formula, meV/atom: 0
V, Å³/f.u.: 134

The structure in POSCAR format:
```
Pm2SmDy
1.0
1.8090 1.0444 11.7863
-1.8090 1.0444 11.7863
0.0000 -2.0888 11.7863
Pm Sm Dy
2 1 1
direct
0.2492 0.2492 0.2492
0.7508 0.7508 0.7508
0.0000 0.0000 0.0000
0.5000 0.5000 0.5000
```



Repeat the third record exactly.
Below is a geometry-optimized Tl3CdAs2 structure, with properties calculated at the GGA-PBE level.

Calculated values
Formation enthalpy at 0 K, eV/atom: 0.024
Total moment, Bohr magnetons per cell: 0.00
Total energy, eV per atom: -2.86
V, Å³/f.u.: 172

The structure in POSCAR format:
```
Tl3CdAs2
1.0
-3.4290 7.4181 3.3872
3.4290 -7.4181 3.3872
3.4290 7.4181 -3.3872
Tl Cd As
6 2 4
direct
0.1810 0.7360 0.9170
0.2500 0.2500 0.0000
0.3190 0.2360 0.5550
0.6810 0.7640 0.4450
0.7500 0.7500 0.0000
0.8190 0.2640 0.0830
0.2500 0.7500 0.5000
0.7500 0.2500 0.5000
0.1127 0.2761 0.3888
0.3873 0.7761 0.1634
0.6127 0.2239 0.8366
0.8873 0.7239 0.6112
```



What is the total moment in the second record? 0.00 Bohr magnetons per cell